No. 1
The following is a PBE-GGA calculation of La6Al2Ge after structural relaxation, from Alexandria via LeMat-Bulk.

Geometry as CIF:
```
data_La6Al2Ge
_chemical_formula_sum 'La12 Al4 Ge2'
_space_group_name_H-M_alt 'P 42/m n m'
_space_group_IT_number 136
_space_group_name_Hall '-P 4n 2n'
_cell_length_a 7.758
_cell_length_b 7.758
_cell_length_c 11.297
_cell_angle_alpha 90.00
_cell_angle_beta 90.00
_cell_angle_gamma 90.00
loop_
_atom_site_label
_atom_site_type_symbol
_atom_site_fract_x
_atom_site_fract_y
_atom_site_fract_z
La1 La 0.213 0.213 0.167
La2 La 0.232 0.232 0.500
Al1 Al 0.000 0.000 0.359
Ge1 Ge 0.000 0.000 0.000
```

Distance to the lowest polymorph of the same formula (eV per atom): 0.297
Energy relative to the elements (eV/atom): -0.07
N(E_F) (states/eV/cell): 21.31

---

No. 2
The following is a PBE-GGA calculation of LiLaAlGe2 after structural relaxation, from Alexandria via LeMat-Bulk.

Geometry as CIF:
```
data_LiLaAlGe2
_chemical_formula_sum 'Li2 La2 Al2 Ge4'
_space_group_name_H-M_alt 'I -4 m 2'
_space_group_IT_number 119
_space_group_name_Hall 'I -4 -2'
_cell_length_a 4.239
_cell_length_b 4.239
_cell_length_c 11.319
_cell_angle_alpha 90.00
_cell_angle_beta 90.00
_cell_angle_gamma 90.00
loop_
_atom_site_label
_atom_site_type_symbol
_atom_site_fract_x
_atom_site_fract_y
_atom_site_fract_z
Li1 Li 0.000 0.000 0.000
La1 La 0.000 0.500 0.250
Al1 Al 0.000 0.000 0.500
Ge1 Ge 0.000 0.500 0.635
```

Energy relative to the elements (eV/atom): -0.59
N(E_F) (states/eV/cell): 3.68

---

No. 3
The following is a PBE-GGA calculation of LiLa2Al3Ge4 after structural relaxation, from Alexandria via LeMat-Bulk.

Geometry as CIF:
```
data_LiLa2Al3Ge4
_chemical_formula_sum 'Li1 La2 Al3 Ge4'
_space_group_name_H-M_alt 'P -4 m 2'
_space_group_IT_number 115
_cell_length_a 4.569
_cell_length_b 4.569
_cell_length_c 10.103
_cell_angle_alpha 90.00
_cell_angle_beta 90.00
_cell_angle_gamma 90.00
loop_
_space_group_symop_operation_xyz
'x,y,z'
'y,-x,-z'
'-x,-y,z'
'-y,x,-z'
'-x,y,z'
'-y,-x,-z'
'x,-y,z'
'y,x,-z'
loop_
_atom_site_label
_atom_site_type_symbol
_atom_site_fract_x
_atom_site_fract_y
_atom_site_fract_z
Li1 Li 0.000 0.000 0.000
La1 La 0.000 0.500 0.741
Al1 Al 0.000 0.500 0.381
Al2 Al 0.500 0.500 0.000
Ge1 Ge 0.000 0.000 0.500
Ge2 Ge 0.000 0.500 0.131
Ge3 Ge 0.500 0.500 0.500
```

Energy relative to the elements (eV/atom): -0.45
N(E_F) (states/eV/cell): 5.59

---

No. 4
The following is a PBE-GGA calculation of LaMgAlGe2 after structural relaxation, from Alexandria via LeMat-Bulk.

Geometry as CIF:
```
data_LaMgAlGe2
_chemical_formula_sum 'La4 Mg4 Al4 Ge8'
_space_group_name_H-M_alt 'C 1 2/m 1'
_space_group_IT_number 12
_cell_length_a 13.584
_cell_length_b 4.317
_cell_length_c 10.178
_cell_angle_alpha 90.00
_cell_angle_beta 126.08
_cell_angle_gamma 90.00
loop_
_space_group_symop_operation_xyz
'x,y,z'
'-x,-y,-z'
'-x,y,-z'
'x,-y,z'
'x+1/2,y+1/2,z'
'-x+1/2,-y+1/2,-z'
'-x+1/2,y+1/2,-z'
'x+1/2,-y+1/2,z'
loop_
_atom_site_label
_atom_site_type_symbol
_atom_site_fract_x
_atom_site_fract_y
_atom_site_fract_z
La1 La 0.201 0.000 0.148
Mg1 Mg 0.139 0.500 0.412
Al1 Al 0.050 0.000 0.718
Ge1 Ge 0.080 0.500 0.883
Ge2 Ge 0.159 0.000 0.581
```

Energy relative to the elements (eV/atom): -0.45
N(E_F) (states/eV/cell): 3.35

---

No. 5
The following is a PBE-GGA calculation of LaMnAlGe2 after structural relaxation, from Alexandria via LeMat-Bulk.

Geometry as CIF:
```
data_LaMnAlGe2
_chemical_formula_sum 'La2 Mn2 Al2 Ge4'
_space_group_name_H-M_alt 'I -4 m 2'
_space_group_IT_number 119
_space_group_name_Hall 'I -4 -2'
_cell_length_a 4.111
_cell_length_b 4.111
_cell_length_c 11.645
_cell_angle_alpha 90.00
_cell_angle_beta 90.00
_cell_angle_gamma 90.00
loop_
_atom_site_label
_atom_site_type_symbol
_atom_site_fract_x
_atom_site_fract_y
_atom_site_fract_z
La1 La 0.000 0.000 0.000
Mn1 Mn 0.000 0.500 0.750
Al1 Al 0.000 0.500 0.250
Ge1 Ge 0.000 0.000 0.383
```

Energy relative to the elements (eV/atom): -0.49
N(E_F) (states/eV/cell): 5.99

---

No. 6
The following is a PBE-GGA calculation of LaMnAl2Ge after structural relaxation, from Alexandria via LeMat-Bulk.

Geometry as CIF:
```
data_LaMnAl2Ge
_chemical_formula_sum 'La1 Mn1 Al2 Ge1'
_space_group_name_H-M_alt 'P 4/m m m'
_space_group_IT_number 123
_space_group_name_Hall '-P 4 2'
_cell_length_a 4.617
_cell_length_b 4.617
_cell_length_c 4.581
_cell_angle_alpha 90.00
_cell_angle_beta 90.00
_cell_angle_gamma 90.00
loop_
_atom_site_label
_atom_site_type_symbol
_atom_site_fract_x
_atom_site_fract_y
_atom_site_fract_z
La1 La 0.000 0.000 0.000
Mn1 Mn 0.500 0.500 0.500
Al1 Al 0.000 0.500 0.500
Ge1 Ge 0.500 0.500 0.000
```

Energy relative to the elements (eV/atom): -0.36
N(E_F) (states/eV/cell): 0.85

---

No. 7
The following is a PBE-GGA calculation of La4AlGeN after structural relaxation, from Alexandria via LeMat-Bulk.

Geometry as CIF:
```
data_La4AlGeN
_chemical_formula_sum 'La16 Al4 Ge4 N4'
_space_group_name_H-M_alt 'C m c m'
_space_group_IT_number 63
_space_group_name_Hall '-C 2c 2'
_cell_length_a 6.937
_cell_length_b 16.572
_cell_length_c 6.956
_cell_angle_alpha 90.00
_cell_angle_beta 90.00
_cell_angle_gamma 90.00
loop_
_atom_site_label
_atom_site_type_symbol
_atom_site_fract_x
_atom_site_fract_y
_atom_site_fract_z
La1 La 0.000 0.069 0.250
La2 La 0.000 0.418 0.250
La3 La 0.250 0.250 0.000
Al1 Al 0.000 0.386 0.750
Ge1 Ge 0.000 0.114 0.750
N1 N 0.000 0.271 0.250
```

N(E_F) (states/eV/cell): 12.90
Uncorrected formation energy (eV/atom): -0.707

---

No. 8
The following is a PBE-GGA calculation of Na2LaAlGe2 after structural relaxation, from Alexandria via LeMat-Bulk.

Geometry as CIF:
```
data_Na2LaAlGe2
_chemical_formula_sum 'Na4 La2 Al2 Ge4'
_space_group_name_H-M_alt 'P m c 21'
_space_group_IT_number 26
_cell_length_a 4.410
_cell_length_b 8.776
_cell_length_c 7.621
_cell_angle_alpha 90.00
_cell_angle_beta 90.00
_cell_angle_gamma 90.00
loop_
_space_group_symop_operation_xyz
'x,y,z'
'-x,-y,z+1/2'
'-x,y,z'
'x,-y,z+1/2'
loop_
_atom_site_label
_atom_site_type_symbol
_atom_site_fract_x
_atom_site_fract_y
_atom_site_fract_z
Na1 Na 0.000 0.076 0.000
Na2 Na 0.500 0.157 0.323
La1 La 0.500 0.438 0.971
Al1 Al 0.000 0.320 0.627
Ge1 Ge 0.000 0.387 0.264
Ge2 Ge 0.500 0.175 0.707
```

Energy relative to the elements (eV/atom): -0.41
N(E_F) (states/eV/cell): 0.98

---

No. 9
The following is a PBE-GGA calculation of LaAlGeO5 after structural relaxation, from Alexandria via LeMat-Bulk.

Geometry as CIF:
```
data_LaAlGeO5
_chemical_formula_sum 'La4 Al4 Ge4 O20'
_space_group_name_H-M_alt 'C 1 2/c 1'
_space_group_IT_number 15
_cell_length_a 6.749
_cell_length_b 8.977
_cell_length_c 6.971
_cell_angle_alpha 90.00
_cell_angle_beta 111.23
_cell_angle_gamma 90.00
loop_
_space_group_symop_operation_xyz
'x,y,z'
'-x,-y,-z'
'-x,y,-z+1/2'
'x,-y,z+1/2'
'x+1/2,y+1/2,z'
'-x+1/2,-y+1/2,-z'
'-x+1/2,y+1/2,-z+1/2'
'x+1/2,-y+1/2,z+1/2'
loop_
_atom_site_label
_atom_site_type_symbol
_atom_site_fract_x
_atom_site_fract_y
_atom_site_fract_z
La1 La 0.000 0.175 0.250
Al1 Al 0.000 0.500 0.000
Ge1 Ge 0.000 0.185 0.750
O1 O 0.000 0.434 0.250
O2 O 0.105 0.300 0.602
O3 O 0.187 0.066 0.930
```

N(E_F) (states/eV/cell): 0.00
Uncorrected formation energy (eV/atom): -2.691

---

No. 10
The following is a PBE-GGA calculation of LaAlGe2O7 after structural relaxation, from Alexandria via LeMat-Bulk.

Geometry as CIF:
```
data_LaAlGe2O7
_chemical_formula_sum 'La4 Al4 Ge8 O28'
_space_group_name_H-M_alt 'P 1 21/c 1'
_space_group_IT_number 14
_cell_length_a 7.402
_cell_length_b 6.626
_cell_length_c 12.997
_cell_angle_alpha 90.00
_cell_angle_beta 117.65
_cell_angle_gamma 90.00
loop_
_space_group_symop_operation_xyz
'x,y,z'
'-x,-y,-z'
'-x,y+1/2,-z+1/2'
'x,-y+1/2,z+1/2'
loop_
_atom_site_label
_atom_site_type_symbol
_atom_site_fract_x
_atom_site_fract_y
_atom_site_fract_z
La1 La 0.240 0.147 0.474
Al1 Al 0.215 0.103 0.730
Ge1 Ge 0.207 0.657 0.448
Ge2 Ge 0.303 0.591 0.717
O1 O 0.005 0.662 0.912
O2 O 0.164 0.681 0.187
O3 O 0.202 0.051 0.863
O4 O 0.228 0.115 0.276
O5 O 0.246 0.505 0.571
O6 O 0.405 0.678 0.975
O7 O 0.430 0.122 0.700
```

N(E_F) (states/eV/cell): 0.00
Uncorrected formation energy (eV/atom): -2.437

---

No. 11
The following is a PBE-GGA calculation of LaAlGeO after structural relaxation, from Alexandria via LeMat-Bulk.

Geometry as CIF:
```
data_LaAlGeO
_chemical_formula_sum 'La2 Al2 Ge2 O2'
_space_group_name_H-M_alt 'P 63 m c'
_space_group_IT_number 186
_space_group_name_Hall 'P 6c -2c'
_cell_length_a 4.1613
_cell_length_b 4.1613
_cell_length_c 10.7946
_cell_angle_alpha 90.00
_cell_angle_beta 90.00
_cell_angle_gamma 120.00
loop_
_atom_site_label
_atom_site_type_symbol
_atom_site_fract_x
_atom_site_fract_y
_atom_site_fract_z
La1 La 0.3333 0.6667 0.0000
Al1 Al 0.0000 0.0000 0.2332
Ge1 Ge 0.3333 0.6667 0.3054
O1 O 0.0000 0.0000 0.0632
```

Uncorrected formation energy (eV/atom): -1.729

---

No. 12
The following is a PBE-GGA calculation of LaAl2GeO after structural relaxation, from Alexandria via LeMat-Bulk.

Geometry as CIF:
```
data_LaAl2GeO
_chemical_formula_sum 'La1 Al2 Ge1 O1'
_space_group_name_H-M_alt 'P 4/m m m'
_space_group_IT_number 123
_space_group_name_Hall '-P 4 2'
_cell_length_a 6.073
_cell_length_b 6.073
_cell_length_c 4.187
_cell_angle_alpha 90.00
_cell_angle_beta 90.00
_cell_angle_gamma 90.00
loop_
_atom_site_label
_atom_site_type_symbol
_atom_site_fract_x
_atom_site_fract_y
_atom_site_fract_z
La1 La 0.000 0.000 0.000
Al1 Al 0.000 0.500 0.000
Ge1 Ge 0.500 0.500 0.500
O1 O 0.000 0.000 0.500
```

N(E_F) (states/eV/cell): 2.97
Uncorrected formation energy (eV/atom): 0.121